Record 1
# NdHf2Os

An optimized crystal structure of NdHf2Os (PBE-GGA, Alexandria via LeMat-Bulk).

Cell lengths 3.291, 3.291, 8.211 Å; angles 90.00, 90.00, 90.00 degrees
Space group P4/mmm (No. 123)
One atom of each set of equivalent atoms:
Nd (0.000, 0.000, 0.000) x1
Hf (0.500, 0.500, 0.309) x2
Os (0.000, 0.000, 0.500) x1

energy of formation from the pure elements: -17 kJ/mol of atoms
DOS at the Fermi energy: 4.2 states/eV per cell

=====

Record 2
# NdHfOs

An optimized crystal structure of NdHfOs (PBE-GGA, Alexandria via LeMat-Bulk).

Cell lengths 7.161, 4.469, 12.997 Å; angles 90.00, 91.29, 90.00 degrees
Space group P2_1/m (No. 11)
One atom of each set of equivalent atoms:
Nd (0.011, 0.250, 0.377) x2
Nd (0.119, 0.250, 0.087) x2
Nd (0.486, 0.250, 0.291) x2
Hf (0.165, 0.250, 0.789) x2
Hf (0.355, 0.750, 0.459) x2
Hf (0.464, 0.750, 0.085) x2
Os (0.203, 0.750, 0.242) x2
Os (0.279, 0.250, 0.569) x2
Os (0.307, 0.750, 0.893) x2

energy of formation from the pure elements: -25 kJ/mol of atoms
DOS at the Fermi energy: 18.4 states/eV per cell

=====

Record 3
# NdHfOs4

An optimized crystal structure of NdHfOs4 (PBE-GGA, Alexandria via LeMat-Bulk).

Cell lengths 7.545, 7.545, 7.545 Å; angles 90.00, 90.00, 90.00 degrees
Space group F-43m (No. 216)
One atom of each set of equivalent atoms:
Nd (0.000, 0.000, 0.000) x4
Hf (0.250, 0.250, 0.750) x4
Os (0.125, 0.125, 0.375) x16

energy of formation from the pure elements: -14 kJ/mol of atoms
DOS at the Fermi energy: 21.4 states/eV per cell